[1]
Entry from Alexandria: a crystal of AlIr2Pt relaxed with PBEsol (meta-GGA SCAN).

Calculated total energy   -55.55 eV per atom
Formation energy from the elements   -11.808 kcal/mol of atoms

Lattice parameters (Å, degrees): 4.5915 4.5915 2.7859 90.00 90.00 106.00
With the nearest neighbours (Å) after each atom.
Atoms (fractional coordinates):
1 Al 0.0000 0.0000 0.0000  8 Ir 2.69, 2 Pt 2.76, 2 Al 2.79
2 Ir 0.0000 0.5000 0.5000  4 Al 2.69, 4 Pt 2.69, 4 Ir 2.76-2.79
3 Ir 0.5000 0.0000 0.5000  4 Al 2.69, 4 Pt 2.69, 4 Ir 2.76-2.79
4 Pt 0.5000 0.5000 0.0000  8 Ir 2.69, 2 Al 2.76, 2 Pt 2.79

---

[2]
Entry from Alexandria: a crystal of Al2IrPt relaxed with PBEsol (meta-GGA SCAN).

Calculated total energy   -40.38 eV per atom
Formation energy from the elements   -27.327 kcal/mol of atoms

Lattice parameters (Å, degrees): 2.9065 3.3332 5.7114 90.00 90.00 90.00
With the nearest neighbours (Å) after each atom.
Atoms (fractional coordinates):
1 Al 0.0000 0.0000 0.2432  4 Ir 2.61, 4 Pt 2.65, 3 Al 2.78-2.91
2 Al 0.0000 0.0000 0.7568  4 Ir 2.61, 4 Pt 2.65, 3 Al 2.78-2.91
3 Ir 0.5000 0.5000 0.0000  8 Al 2.61, 2 Pt 2.86, 2 Ir 2.91
4 Pt 0.5000 0.5000 0.5000  8 Al 2.65, 2 Ir 2.86, 2 Pt 2.91

---

[3]
Entry from Alexandria: a crystal of Al2IrPt relaxed with PBEsol (meta-GGA SCAN).

Calculated total energy   -40.16 eV per atom
Formation energy from the elements   -22.060 kcal/mol of atoms

Lattice parameters (Å, degrees): 4.9571 4.9571 4.9571 136.81 136.81 62.72
With the nearest neighbours (Å) after each atom.
Atoms (fractional coordinates):
1 Al 0.0000 0.0000 0.0000  4 Ir 2.58, 4 Al 2.79, 4 Pt 2.79
2 Al 0.7500 0.2500 0.5000  4 Pt 2.58, 4 Ir 2.79, 4 Al 2.79
3 Ir 0.5000 0.5000 0.0000  8 Al 2.58-2.79, 4 Pt 2.79
4 Pt 0.2500 0.7500 0.5000  8 Al 2.58-2.79, 4 Ir 2.79

---

[4]
Entry from Alexandria: a crystal of Al2IrPt relaxed with PBEsol (meta-GGA SCAN).

Calculated total energy   -40.33 eV per atom
Formation energy from the elements   -26.191 kcal/mol of atoms

Lattice parameters (Å, degrees): 4.3526 4.3526 2.9262 90.00 90.00 90.00
With the nearest neighbours (Å) after each atom.
Atoms (fractional coordinates):
1 Al 0.0000 0.5000 0.0000  4 Ir 2.62, 4 Pt 2.62, 2 Al 2.93
2 Al 0.5000 0.0000 0.0000  4 Ir 2.62, 4 Pt 2.62, 2 Al 2.93
3 Ir 0.0000 0.0000 0.5000  8 Al 2.62, 2 Ir 2.93
4 Pt 0.5000 0.5000 0.5000  8 Al 2.62, 2 Pt 2.93